(1)
First-principles (PBE) data for an optimized crystal structure of CsKHgAu, as listed in Alexandria via LeMat-Bulk.

a b c (Å): 6.106 6.106 6.106
angles (deg): 60.00 60.00 60.00
Positions (direct):
K1 0.000 0.000 0.000
Au1 0.250 0.250 0.250
Hg1 0.750 0.750 0.750
Cs1 0.500 0.500 0.500

**Formation energy**: -0.2227 eV/atom
**Raw total energy**: -6.4 eV per cell
**Magnetic moment**: 0.00 μB/f.u.
**DOS(E_F)**: 2.35 states/eV/f.u.

(2)
First-principles (PBE) data for an optimized crystal structure of TaAl2Sb, as listed in Alexandria via LeMat-Bulk.

a b c (Å): 10.874 10.874 10.874
angles (deg): 16.08 16.08 16.08
Positions (direct):
Sb1 0.484 0.484 0.484
Al1 0.268 0.268 0.268
Al2 0.006 0.006 0.006
Ta1 0.743 0.743 0.743

**Raw total energy**: -22.8 eV per cell
**Magnetic moment**: 0.00 μB/f.u.
**Energy relative to the elements, uncorrected**: 3.9 kcal/mol of atoms
**DOS(E_F)**: 3.70 states/eV/f.u.

(3)
First-principles (PBE) data for an optimized crystal structure of AlCu3Au2, as listed in Alexandria via LeMat-Bulk.

a b c (Å): 4.012 6.285 8.374
angles (deg): 81.04 60.79 71.39
Positions (direct):
Cu1 0.748 0.000 0.753
Cu2 0.939 0.652 0.235
Au1 0.500 0.000 0.500
Au2 0.167 0.667 0.500
Au3 0.833 0.333 0.500
Cu3 0.252 0.000 0.247
Al1 0.339 0.322 0.000
Cu4 0.061 0.348 0.765
Cu5 0.409 0.652 0.765
Cu6 0.591 0.348 0.235
Au4 0.000 0.000 0.000
Al2 0.661 0.678 0.000

**Formation energy**: -0.1298 eV/atom
**Raw total energy**: -46.7 eV per cell
**Magnetic moment**: 0.00 μB/f.u.
**DOS(E_F)**: 1.53 states/eV/f.u.